An optimized crystal structure of TmMoIr. Source: Alexandria via LeMat-Bulk, functional PBE.

```
data_TmMoIr
_chemical_formula_sum 'Tm3 Mo3 Ir3'
_symmetry_space_group_name_H-M 'P -6 2 m'
_symmetry_Int_Tables_number 189
_symmetry_space_group_name_Hall 'P -6 -2'
_cell_length_a 6.5945
_cell_length_b 6.5945
_cell_length_c 4.6375
_cell_angle_alpha 90.00
_cell_angle_beta 90.00
_cell_angle_gamma 120.00
loop_
_atom_site_label
_atom_site_type_symbol
_atom_site_fract_x
_atom_site_fract_y
_atom_site_fract_z
Tm1 Tm 0.0000 0.4235 0.0000
Mo1 Mo 0.0000 0.7682 0.5000
Ir1 Ir 0.0000 0.0000 0.0000
Ir2 Ir 0.3333 0.6667 0.5000
```

Spin magnetization: 0.00 Bohr magnetons per cell
Final energy: -8.4572 eV per atom
Calculated formation energy: -403 meV/atom

=====

An optimized crystal structure of UMo2Ir. Source: Alexandria via LeMat-Bulk, functional PBE.

```
data_UMo2Ir
_chemical_formula_sum 'U1 Mo2 Ir1'
_symmetry_space_group_name_H-M 'P 4/m m m'
_symmetry_Int_Tables_number 123
_symmetry_space_group_name_Hall '-P 4 2'
_cell_length_a 4.0870
_cell_length_b 4.0870
_cell_length_c 4.1082
_cell_angle_alpha 90.00
_cell_angle_beta 90.00
_cell_angle_gamma 90.00
loop_
_atom_site_label
_atom_site_type_symbol
_atom_site_fract_x
_atom_site_fract_y
_atom_site_fract_z
U1 U 0.0000 0.0000 0.0000
Mo1 Mo 0.0000 0.5000 0.5000
Ir1 Ir 0.5000 0.5000 0.0000
```

Spin magnetization: 0.00 Bohr magnetons per cell
Final energy: -10.4369 eV per atom
Calculated formation energy: 16 meV/atom

=====

An optimized crystal structure of ZrUMoIr. Source: Alexandria via LeMat-Bulk, functional PBE.

```
data_ZrUMoIr
_chemical_formula_sum 'Zr4 U4 Mo4 Ir4'
_symmetry_space_group_name_H-M 'F -4 3 m'
_symmetry_Int_Tables_number 216
_symmetry_space_group_name_Hall 'F -4 2 3'
_cell_length_a 6.7265
_cell_length_b 6.7265
_cell_length_c 6.7265
_cell_angle_alpha 90.00
_cell_angle_beta 90.00
_cell_angle_gamma 90.00
loop_
_atom_site_label
_atom_site_type_symbol
_atom_site_fract_x
_atom_site_fract_y
_atom_site_fract_z
Zr1 Zr 0.0000 0.0000 0.0000
U1 U 0.0000 0.0000 0.5000
Mo1 Mo 0.2500 0.2500 0.2500
Ir1 Ir 0.2500 0.2500 0.7500
```

Spin magnetization: 6.62 Bohr magnetons per cell
Final energy: -10.1052 eV per atom
Calculated formation energy: -223 meV/atom

=====

An optimized crystal structure of V2MoIr5. Source: Alexandria via LeMat-Bulk, functional PBE.

```
data_V2MoIr5
_chemical_formula_sum 'V4 Mo2 Ir10'
_symmetry_space_group_name_H-M 'P b a m'
_symmetry_Int_Tables_number 55
_cell_length_a 5.4427
_cell_length_b 10.8977
_cell_length_c 3.8683
_cell_angle_alpha 90.00
_cell_angle_beta 90.00
_cell_angle_gamma 90.00
loop_
_symmetry_equiv_pos_as_xyz
'x,y,z'
'-x,-y,-z'
'-x,-y,z'
'x,y,-z'
'x+1/2,-y+1/2,-z'
'-x+1/2,y+1/2,z'
'-x+1/2,y+1/2,-z'
'x+1/2,-y+1/2,z'
loop_
_atom_site_label
_atom_site_type_symbol
_atom_site_fract_x
_atom_site_fract_y
_atom_site_fract_z
V1 V 0.2429 0.1266 0.0000
Mo1 Mo 0.0000 0.5000 0.5000
Ir1 Ir 0.0000 0.0000 0.5000
Ir2 Ir 0.0043 0.7494 0.5000
Ir3 Ir 0.2473 0.3754 0.0000
```

Spin magnetization: 0.00 Bohr magnetons per cell
Final energy: -9.5834 eV per atom
Calculated formation energy: -412 meV/atom

=====

An optimized crystal structure of V2MoIr4. Source: Alexandria via LeMat-Bulk, functional PBE.

```
data_V2MoIr4
_chemical_formula_sum 'V4 Mo2 Ir8'
_symmetry_space_group_name_H-M 'P b a m'
_symmetry_Int_Tables_number 55
_cell_length_a 4.7781
_cell_length_b 10.0940
_cell_length_c 4.4169
_cell_angle_alpha 90.00
_cell_angle_beta 90.00
_cell_angle_gamma 90.00
loop_
_symmetry_equiv_pos_as_xyz
'x,y,z'
'-x,-y,-z'
'-x,-y,z'
'x,y,-z'
'x+1/2,-y+1/2,-z'
'-x+1/2,y+1/2,z'
'-x+1/2,y+1/2,-z'
'x+1/2,-y+1/2,z'
loop_
_atom_site_label
_atom_site_type_symbol
_atom_site_fract_x
_atom_site_fract_y
_atom_site_fract_z
V1 V 0.2438 0.1811 0.0000
Mo1 Mo 0.0000 0.0000 0.5000
Ir1 Ir 0.0410 0.3015 0.5000
Ir2 Ir 0.2380 0.4356 0.0000
```

Spin magnetization: 0.00 Bohr magnetons per cell
Final energy: -9.2754 eV per atom
Calculated formation energy: -59 meV/atom

=====

An optimized crystal structure of V2MoIr2. Source: Alexandria via LeMat-Bulk, functional PBE.

```
data_V2MoIr2
_chemical_formula_sum 'V4 Mo2 Ir4'
_symmetry_space_group_name_H-M 'P 4/m b m'
_symmetry_Int_Tables_number 127
_symmetry_space_group_name_Hall '-P 4 2ab'
_cell_length_a 7.3220
_cell_length_b 7.3220
_cell_length_c 2.7634
_cell_angle_alpha 90.00
_cell_angle_beta 90.00
_cell_angle_gamma 90.00
loop_
_atom_site_label
_atom_site_type_symbol
_atom_site_fract_x
_atom_site_fract_y
_atom_site_fract_z
V1 V 0.1653 0.3347 0.0000
Mo1 Mo 0.0000 0.0000 0.5000
Ir1 Ir 0.1332 0.6332 0.5000
```

ΔE to the lowest computed polymorph: 0.0 kJ/mol of formula units
Spin magnetization: 0.00 Bohr magnetons per cell
Final energy: -9.5989 eV per atom
Calculated formation energy: -241 meV/atom

=====

An optimized crystal structure of V6Mo5Ir. Source: Alexandria via LeMat-Bulk, functional PBE.

```
data_V6Mo5Ir
_chemical_formula_sum 'V12 Mo10 Ir2'
_symmetry_space_group_name_H-M 'C 1 2/m 1'
_symmetry_Int_Tables_number 12
_cell_length_a 13.7375
_cell_length_b 6.1199
_cell_length_c 4.3286
_cell_angle_alpha 90.00
_cell_angle_beta 108.28
_cell_angle_gamma 90.00
loop_
_symmetry_equiv_pos_as_xyz
'x,y,z'
'-x,-y,-z'
'-x,y,-z'
'x,-y,z'
'x+1/2,y+1/2,z'
'-x+1/2,-y+1/2,-z'
'-x+1/2,y+1/2,-z'
'x+1/2,-y+1/2,z'
loop_
_atom_site_label
_atom_site_type_symbol
_atom_site_fract_x
_atom_site_fract_y
_atom_site_fract_z
V1 V 0.0000 0.2463 0.0000
V2 V 0.1673 0.2485 0.6673
Mo1 Mo 0.0000 0.0000 0.5000
Mo2 Mo 0.1640 0.5000 0.1638
Mo3 Mo 0.1674 0.0000 0.1673
Ir1 Ir 0.0000 0.5000 0.5000
```

Spin magnetization: 0.00 Bohr magnetons per cell
Final energy: -10.0575 eV per atom
Calculated formation energy: -247 meV/atom

=====

An optimized crystal structure of VMo2Ir. Source: Alexandria via LeMat-Bulk, functional PBE.

```
data_VMo2Ir
_chemical_formula_sum 'V4 Mo8 Ir4'
_symmetry_space_group_name_H-M 'I -4 2 d'
_symmetry_Int_Tables_number 122
_symmetry_space_group_name_Hall 'I -4 2bw'
_cell_length_a 3.6196
_cell_length_b 3.6196
_cell_length_c 19.7872
_cell_angle_alpha 90.00
_cell_angle_beta 90.00
_cell_angle_gamma 90.00
loop_
_atom_site_label
_atom_site_type_symbol
_atom_site_fract_x
_atom_site_fract_y
_atom_site_fract_z
V1 V 0.0000 0.0000 0.0000
Mo1 Mo 0.2362 0.2500 0.1250
Ir1 Ir 0.0000 0.0000 0.5000
```

ΔE to the lowest computed polymorph: 216.9 kJ/mol of formula units
Spin magnetization: 0.01 Bohr magnetons per cell
Final energy: -9.4284 eV per atom
Calculated formation energy: 482 meV/atom

=====

An optimized crystal structure of V4Mo2Ir. Source: Alexandria via LeMat-Bulk, functional PBE.

```
data_V4Mo2Ir
_chemical_formula_sum 'V8 Mo4 Ir2'
_symmetry_space_group_name_H-M 'I 4/m m m'
_symmetry_Int_Tables_number 139
_symmetry_space_group_name_Hall '-I 4 2'
_cell_length_a 4.5481
_cell_length_b 4.5481
_cell_length_c 12.3596
_cell_angle_alpha 90.00
_cell_angle_beta 90.00
_cell_angle_gamma 90.00
loop_
_atom_site_label
_atom_site_type_symbol
_atom_site_fract_x
_atom_site_fract_y
_atom_site_fract_z
V1 V 0.0000 0.0000 0.1971
V2 V 0.0000 0.5000 0.0000
Mo1 Mo 0.0000 0.0000 0.3807
Ir1 Ir 0.0000 0.0000 0.0000
```

ΔE to the lowest computed polymorph: 690.3 kJ/mol of formula units
Spin magnetization: 2.75 Bohr magnetons per cell
Final energy: -8.4745 eV per atom
Calculated formation energy: 1097 meV/atom

=====

An optimized crystal structure of VMo2Ir3. Source: Alexandria via LeMat-Bulk, functional PBE.

```
data_VMo2Ir3
_chemical_formula_sum 'V1 Mo2 Ir3'
_symmetry_space_group_name_H-M 'P m m m'
_symmetry_Int_Tables_number 47
_cell_length_a 2.7585
_cell_length_b 3.8704
_cell_length_c 8.2638
_cell_angle_alpha 90.00
_cell_angle_beta 90.00
_cell_angle_gamma 90.00
loop_
_symmetry_equiv_pos_as_xyz
'x,y,z'
'-x,-y,-z'
'-x,-y,z'
'x,y,-z'
'x,-y,-z'
'-x,y,z'
'-x,y,-z'
'x,-y,z'
loop_
_atom_site_label
_atom_site_type_symbol
_atom_site_fract_x
_atom_site_fract_y
_atom_site_fract_z
V1 V 0.0000 0.0000 0.0000
Mo1 Mo 0.0000 0.0000 0.3314
Ir1 Ir 0.5000 0.5000 0.1633
Ir2 Ir 0.5000 0.5000 0.5000
```

Spin magnetization: 0.00 Bohr magnetons per cell
Final energy: -9.9184 eV per atom
Calculated formation energy: -358 meV/atom

=====

An optimized crystal structure of V2MoIr3. Source: Alexandria via LeMat-Bulk, functional PBE.

```
data_V2MoIr3
_chemical_formula_sum 'V2 Mo1 Ir3'
_symmetry_space_group_name_H-M 'P 4/m m m'
_symmetry_Int_Tables_number 123
_symmetry_space_group_name_Hall '-P 4 2'
_cell_length_a 2.7552
_cell_length_b 2.7552
_cell_length_c 11.3074
_cell_angle_alpha 90.00
_cell_angle_beta 90.00
_cell_angle_gamma 90.00
loop_
_atom_site_label
_atom_site_type_symbol
_atom_site_fract_x
_atom_site_fract_y
_atom_site_fract_z
V1 V 0.0000 0.0000 0.1629
Mo1 Mo 0.0000 0.0000 0.5000
Ir1 Ir 0.5000 0.5000 0.0000
Ir2 Ir 0.5000 0.5000 0.3257
```

Spin magnetization: 0.00 Bohr magnetons per cell
Final energy: -9.6985 eV per atom
Calculated formation energy: -423 meV/atom

=====

An optimized crystal structure of V4Mo2Ir. Source: Alexandria via LeMat-Bulk, functional PBE.

```
data_V4Mo2Ir
_chemical_formula_sum 'V8 Mo4 Ir2'
_symmetry_space_group_name_H-M 'I 4/m m m'
_symmetry_Int_Tables_number 139
_symmetry_space_group_name_Hall '-I 4 2'
_cell_length_a 5.9742
_cell_length_b 5.9742
_cell_length_c 6.1268
_cell_angle_alpha 90.00
_cell_angle_beta 90.00
_cell_angle_gamma 90.00
loop_
_atom_site_label
_atom_site_type_symbol
_atom_site_fract_x
_atom_site_fract_y
_atom_site_fract_z
V1 V 0.2500 0.2500 0.2500
Mo1 Mo 0.0000 0.5000 0.0000
Ir1 Ir 0.0000 0.0000 0.0000
```

ΔE to the lowest computed polymorph: 0.0 kJ/mol of formula units
Spin magnetization: 0.00 Bohr magnetons per cell
Final energy: -9.4966 eV per atom
Calculated formation energy: 74 meV/atom

=====

An optimized crystal structure of VMo3Ir. Source: Alexandria via LeMat-Bulk, functional PBE.

```
data_VMo3Ir
_chemical_formula_sum 'V1 Mo3 Ir1'
_symmetry_space_group_name_H-M 'P m -3 m'
_symmetry_Int_Tables_number 221
_symmetry_space_group_name_Hall '-P 4 2 3'
_cell_length_a 4.4233
_cell_length_b 4.4233
_cell_length_c 4.4233
_cell_angle_alpha 90.00
_cell_angle_beta 90.00
_cell_angle_gamma 90.00
loop_
_atom_site_label
_atom_site_type_symbol
_atom_site_fract_x
_atom_site_fract_y
_atom_site_fract_z
V1 V 0.0000 0.0000 0.0000
Mo1 Mo 0.0000 0.0000 0.5000
Ir1 Ir 0.5000 0.5000 0.5000
```

ΔE to the lowest computed polymorph: 0.0 kJ/mol of formula units
Spin magnetization: 0.00 Bohr magnetons per cell
Final energy: -8.7895 eV per atom
Calculated formation energy: 1305 meV/atom